Here is a relaxed structure of KReCl6 from Alexandria. Energies are from PBE.

Formation energy without anion corrections   -0.97 eV per atom
E   -0.1486 hartree per atom

a b c (Å): 6.708 6.708 11.084
angles (deg): 87.20 87.20 84.82
Each line ends with the local moment (μB).
Sites, in units of the cell vectors:
1 K 0.011 0.989 0.250  0.00
2 K 0.989 0.011 0.750  0.00
3 Re 0.000 0.500 0.500  1.48
4 Re 0.500 0.000 0.000  1.48
5 Cl 0.280 0.660 0.435  0.03
6 Cl 0.720 0.340 0.565  0.03
7 Cl 0.340 0.720 0.065  0.03
8 Cl 0.660 0.280 0.935  0.03
9 Cl 0.916 0.479 0.298  0.04
10 Cl 0.084 0.521 0.702  0.04
11 Cl 0.521 0.084 0.202  0.04
12 Cl 0.479 0.916 0.798  0.04
13 Cl 0.190 0.191 0.992  0.04
14 Cl 0.810 0.809 0.008  0.04
15 Cl 0.809 0.810 0.508  0.04
16 Cl 0.191 0.190 0.492  0.04